The following is a PBE-GGA calculation of crystalline Ba3Ni2P4 at its relaxed geometry, from OQMD via LeMat-Bulk.

## Properties
V, A^3/atom: 23.9
E, eV/atom: -5.0642
Total magnetization, μB per formula unit: 0.0

a b c (Å): 8.133 8.133 6.950
angles (deg): 102.53 102.53 76.58
Positions (direct):
Ba 0.261 0.988 0.084
Ba 0.577 0.423 0.250
Ba 0.012 0.739 0.416
Ba 0.988 0.261 0.584
Ba 0.423 0.577 0.750
Ba 0.739 0.012 0.916
Ni 0.168 0.419 0.007
Ni 0.581 0.832 0.493
Ni 0.419 0.168 0.507
Ni 0.832 0.581 0.993
P 0.960 0.342 0.127
P 0.635 0.774 0.163
P 0.226 0.365 0.337
P 0.658 0.040 0.373
P 0.342 0.960 0.627
P 0.774 0.635 0.663
P 0.365 0.226 0.837
P 0.040 0.658 0.873